# HfSbBr2

An optimized crystal structure of HfSbBr2 (PBE-GGA, the Alexandria database).

Geometry as POSCAR:
```
HfSbBr2
1.0
-4.773 4.773 2.806
4.773 -4.773 2.806
4.773 4.773 -2.806
Hf Sb Br
2 2 4
direct
0.000 0.000 0.000
0.750 0.250 0.500
0.250 0.750 0.500
0.500 0.500 0.000
0.375 0.241 0.366
0.759 0.125 0.134
0.875 0.009 0.634
0.991 0.625 0.866
```

Calculated values
Energy above the most stable polymorph in this dataset: 195 meV per atom
Crystal system: tetragonal
Raw formation energy: -0.35 eV/atom